## NdScCdNi (PBE-GGA)

Data for a relaxed NdScCdNi crystal.

Structure (CIF):
```
data_NdScCdNi
_chemical_formula_sum 'Nd1 Sc1 Cd1 Ni1'
_space_group_name_H-M_alt 'P 1'
_space_group_IT_number 1
_cell_length_a 5.014
_cell_length_b 5.014
_cell_length_c 5.014
_cell_angle_alpha 60.00
_cell_angle_beta 60.00
_cell_angle_gamma 60.00
loop_
_space_group_symop_operation_xyz
'x,y,z'
loop_
_atom_site_label
_atom_site_type_symbol
_atom_site_fract_x
_atom_site_fract_y
_atom_site_fract_z
Nd1 Nd 0.000 0.000 0.000
Sc1 Sc 0.500 0.500 0.500
Cd1 Cd 0.750 0.750 0.750
Ni1 Ni 0.250 0.250 0.250
```

Output
- VASP energy: -18.5 eV/cell
- Total magnetic moment: 0.000 μB/atom
- Energy of formation from the pure elements: -71 kJ/mol of formula units